(1)
PBE Tb2Dy3Er, relaxed; space group = C2/c; total DFT energy (no corrections) = -55.04 eV/cell; ΔH_f (0 K) = 0.018 eV per atom
1.0
-3.202 0.821 -5.143
5.024 -3.360 -3.664
-6.583 -5.850 3.155
Tb Dy Er
4 6 2
direct
0.584 0.541 0.333 Tb
0.916 0.209 0.667 Tb
0.084 0.791 0.333 Tb
0.416 0.459 0.667 Tb
0.583 0.041 0.332 Dy
0.750 0.625 0.000 Dy
0.083 0.291 0.332 Dy
0.917 0.709 0.668 Dy
0.250 0.375 0.000 Dy
0.417 0.959 0.668 Dy
0.250 0.875 0.000 Er
0.750 0.125 0.000 Er

(2)
PBE MgZnTe2, relaxed; space group = P4/mmm; uncorrected formation energy = -0.47 eV per atom; total DFT energy (no corrections) = -11.05 eV/cell
1.0
-3.631 0.910 1.787
1.487 -1.259 3.662
1.919 5.485 1.106
Te Zn Mg
2 1 1
direct
0.500 0.500 0.500 Te
0.000 0.000 0.000 Te
0.500 0.500 0.000 Zn
0.000 0.000 0.500 Mg

(3)
PBE ReMo2, relaxed; space group = P-3m1; total DFT energy (no corrections) = -33.32 eV/cell; ΔH_f (0 K) = 0.263 eV per atom
1.0
-0.759 -2.637 -0.607
2.268 1.125 -1.219
3.919 -2.315 5.158
Mo Re
2 1
direct
0.333 0.667 0.659 Mo
0.000 0.000 0.007 Mo
0.667 0.333 0.333 Re

(4)
PBE CaCd6In, relaxed; space group = Pm-3; total DFT energy (no corrections) = -10.42 eV/cell; ΔH_f (0 K) = -0.024 eV per atom
1.0
-2.719 4.252 3.096
-4.226 -3.841 1.563
3.131 -1.492 4.799
In Cd Ca
1 6 1
direct
0.000 0.000 0.000 In
0.500 0.751 0.000 Cd
0.000 0.500 0.249 Cd
0.000 0.500 0.751 Cd
0.500 0.249 0.000 Cd
0.751 0.000 0.500 Cd
0.249 0.000 0.500 Cd
0.500 0.500 0.500 Ca

(5)
PBE CsBiSeI2, relaxed; space group = P4/mmm; uncorrected formation energy = -0.71 eV per atom; total DFT energy (no corrections) = -14.85 eV/cell
1.0
-3.878 -4.530 -2.249
5.048 -3.634 -1.385
-0.260 -2.288 5.056
Cs I Se Bi
1 2 1 1
direct
0.500 0.500 0.500 Cs
0.500 0.000 0.000 I
0.000 0.500 0.000 I
0.000 0.000 0.500 Se
0.000 0.000 0.000 Bi

(6)
PBE CoNi3S, relaxed; space group = Pm-3m; uncorrected formation energy = 0.33 eV per atom; total DFT energy (no corrections) = -26.90 eV/cell
1.0
-1.089 1.929 -3.435
-3.911 -0.099 1.184
0.475 3.602 1.872
Ni S Co
3 1 1
direct
0.500 0.000 0.000 Ni
0.000 0.000 0.500 Ni
0.000 0.500 0.000 Ni
0.000 0.000 0.000 S
0.500 0.500 0.500 Co

Question: Which of these has the lowest total DFT energy (no corrections)?
Answer: Tb2Dy3Er

Question: Which formula does entry 3 have?
Answer: ReMo2

Question: Among the records above, which one has the highest total DFT energy (no corrections)?
Answer: CaCd6In

Question: Number 4 is which compound?
Answer: CaCd6In